# Y2In8P

A geometry-optimized Y2In8P structure (PBE, Alexandria via LeMat-Bulk).

The formation energy comes out at -2.1 eV per formula unit.

The structure belongs to space group P4/mmm (No. 123); the cell edges are 4.556, 4.556 and 13.514 Å and the angles 90.00°, 90.00° and 90.00°. The inequivalent atoms are Y at (0.000, 0.000, 0.173), In at (0.000, 0.500, 0.000), In at (0.000, 0.500, 0.361), In at (0.500, 0.500, 0.178) and P at (0.000, 0.000, 0.500).